# Li2Ac3Ag3 PBE-GGA relaxed
data_Li2Ac3Ag3
_chemical_formula_sum 'Li8 Ac12 Ag12'
_space_group_name_H-M_alt 'P n m a'
_space_group_IT_number 62
_cell_length_a 8.882
_cell_length_b 16.133
_cell_length_c 6.244
_cell_angle_alpha 90.00
_cell_angle_beta 90.00
_cell_angle_gamma 90.00
loop_
_space_group_symop_operation_xyz
'x,y,z'
'-x,-y,-z'
'-x+1/2,-y,z+1/2'
'x+1/2,y,-z+1/2'
'x+1/2,-y+1/2,-z+1/2'
'-x+1/2,y+1/2,z+1/2'
'-x,y+1/2,-z'
'x,-y+1/2,z'
loop_
_atom_site_label
_atom_site_type_symbol
_atom_site_fract_x
_atom_site_fract_y
_atom_site_fract_z
Li1 Li 0.101 0.093 0.116
Ac1 Ac 0.051 0.607 0.374
Ac2 Ac 0.196 0.750 0.889
Ag1 Ag 0.163 0.250 0.895
Ag2 Ag 0.187 0.543 0.885
# energy: -3.27 eV per atom
# density of states at the Fermi level: 0.828 states/eV/atom
# energy relative to the elements: -0.1799 eV/atom
# energy above the most stable polymorph in this dataset: 0 meV/atom